# PBE LiTl2Bi, relaxed
# D(E_F) = 1.98 states/eV per cell
# Formation energy from the elements = -0.14 eV per atom
data_LiTl2Bi
_cell_length_a 5.4524
_cell_length_b 5.4524
_cell_length_c 13.3721
_cell_angle_alpha 90.00
_cell_angle_beta 90.00
_cell_angle_gamma 120.00
_symmetry_space_group_name_H-M 'R 3 m'
_symmetry_Int_Tables_number 160
_symmetry_space_group_name_Hall 'R 3 -2"'
loop_
_atom_site_label
_atom_site_type_symbol
_atom_site_fract_x
_atom_site_fract_y
_atom_site_fract_z
Li1 Li 0.0000 0.0000 0.0000
Tl1 Tl 0.0000 0.0000 0.5006
Tl2 Tl 0.0000 0.0000 0.7503
Bi1 Bi 0.0000 0.0000 0.2508